# PBE PuSi2As, relaxed
data_PuSi2As
_space_group_name_H-M_alt 'P 1'
_space_group_IT_number 1
_space_group_name_Hall 'P 1'
_cell_length_a 4.0751
_cell_length_b 4.0751
_cell_length_c 4.2136
_cell_angle_alpha 90.00
_cell_angle_beta 90.00
_cell_angle_gamma 90.00
loop_
_atom_site_label
_atom_site_type_symbol
_atom_site_fract_x
_atom_site_fract_y
_atom_site_fract_z
Pu1 Pu 0.0000 0.0000 0.0000
Si1 Si 0.0000 0.5000 0.5000
Si2 Si 0.5000 0.0000 0.5000
As1 As 0.5000 0.5000 0.0000
# * raw formation energy: -33.00 kJ/mol of atoms